1.
! RbNbI2N (GGA-PBEsol, relaxed); values from VASP
! Symmetry ... P4/mmm (123)
! Raw formation energy ... -2.51 eV per formula unit
&SYSTEM
  ibrav = 0, nat = 5, ntyp = 4
/
ATOMIC_SPECIES
Rb 85.47 Rb.upf
I 126.90 I.upf
N 14.01 N.upf
Nb 92.91 Nb.upf
CELL_PARAMETERS angstrom
3.988 0.000 0.000
0.000 5.858 0.000
0.000 0.000 5.858
ATOMIC_POSITIONS crystal
Rb 0.500 0.500 0.500
I 0.000 0.500 0.000
I 0.000 0.000 0.500
N 0.500 0.000 0.000
Nb 0.000 0.000 0.000

---

2.
! Zn2CdAs (GGA-PBEsol, relaxed); values from VASP
! Symmetry ... P4mm (99)
! ΔE to the lowest computed polymorph ... 16 meV/atom
! E_form ... 0.154 eV per atom
&SYSTEM
  ibrav = 0, nat = 4, ntyp = 3
/
ATOMIC_SPECIES
As 74.92 As.upf
Zn 65.41 Zn.upf
Cd 112.41 Cd.upf
CELL_PARAMETERS angstrom
2.927 0.132 0.000
-0.130 2.927 0.000
0.000 0.000 8.065
ATOMIC_POSITIONS crystal
As 0.000 0.000 0.525
Zn 0.000 0.000 0.976
Zn 0.500 0.500 0.768
Cd 0.500 0.500 0.231

---

3.
! ScTc2Ru (GGA-PBEsol, relaxed); values from VASP
! Symmetry ... F-43m (216)
! ΔE to the lowest computed polymorph ... 0 meV/atom
! E_form ... -0.069 eV per atom
&SYSTEM
  ibrav = 0, nat = 4, ntyp = 3
/
ATOMIC_SPECIES
Sc 44.96 Sc.upf
Tc 98.00 Tc.upf
Ru 101.07 Ru.upf
CELL_PARAMETERS angstrom
4.370 0.000 0.000
2.185 3.784 0.000
2.185 1.261 3.568
ATOMIC_POSITIONS crystal
Sc 0.250 0.250 0.250
Tc 0.000 0.000 0.000
Tc 0.750 0.750 0.750
Ru 0.500 0.500 0.500

---

4.
! Sc2MnP (GGA-PBEsol, relaxed); values from VASP
! Symmetry ... Amm2 (38)
! E_form ... -0.741 eV per atom
&SYSTEM
  ibrav = 0, nat = 4, ntyp = 3
/
ATOMIC_SPECIES
Sc 44.96 Sc.upf
Mn 54.94 Mn.upf
P 30.97 P.upf
CELL_PARAMETERS angstrom
-1.122 2.371 -2.433
-3.039 0.782 2.163
3.103 2.365 3.504
ATOMIC_POSITIONS crystal
Sc 0.395 0.500 0.790
Sc 0.106 0.000 0.212
Mn 0.822 0.000 0.644
P 0.679 0.500 0.359

---

5.
! CrAsPt (GGA-PBEsol, relaxed); values from VASP
! Symmetry ... P3m1 (156)
! E_form ... 0.092 eV per atom
&SYSTEM
  ibrav = 0, nat = 3, ntyp = 3
/
ATOMIC_SPECIES
Pt 195.08 Pt.upf
Cr 52.00 Cr.upf
As 74.92 As.upf
CELL_PARAMETERS angstrom
2.828 0.000 0.000
-1.414 2.449 0.000
0.000 0.000 6.141
ATOMIC_POSITIONS crystal
Pt 0.333 0.667 0.350
Cr 0.667 0.333 0.675
As 0.000 0.000 0.975

---

6.
! Ca9MgP7O28 (GGA-PBEsol, relaxed); values from VASP
! Symmetry ... R3c (161)
! Raw formation energy ... -128.22 eV per formula unit
&SYSTEM
  ibrav = 0, nat = 90, ntyp = 4
/
ATOMIC_SPECIES
Ca 40.08 Ca.upf
O 16.00 O.upf
P 30.97 P.upf
Mg 24.30 Mg.upf
CELL_PARAMETERS angstrom
-0.683 -10.156 1.730
2.566 -6.688 -7.436
12.255 -5.700 2.187
ATOMIC_POSITIONS crystal
Ca 0.524 0.970 0.508
Ca 0.913 0.344 0.802
Ca 0.082 0.653 0.193
Ca 0.844 0.413 0.302
Ca 0.571 0.153 0.693
Ca 0.024 0.498 0.008
Ca 0.998 0.524 0.508
Ca 0.470 0.024 0.008
Ca 0.498 0.470 0.008
Ca 0.442 0.844 0.302
Ca 0.942 0.913 0.802
Ca 0.970 0.998 0.508
Ca 0.071 0.082 0.193
Ca 0.344 0.942 0.802
Ca 0.653 0.071 0.193
Ca 0.153 0.582 0.693
Ca 0.413 0.442 0.302
Ca 0.582 0.571 0.693
O 0.391 0.108 0.233
O 0.633 0.859 0.131
O 0.700 0.700 0.899
O 0.399 0.647 0.859
O 0.772 0.394 0.973
O 0.361 0.894 0.473
O 0.635 0.614 0.392
O 0.163 0.640 0.837
O 0.608 0.891 0.733
O 0.875 0.139 0.108
O 0.376 0.633 0.131
O 0.858 0.114 0.892
O 0.859 0.376 0.131
O 0.640 0.360 0.837
O 0.139 0.878 0.108
O 0.272 0.361 0.473
O 0.876 0.359 0.631
O 0.639 0.375 0.608
O 0.200 0.200 0.399
O 0.378 0.639 0.608
O 0.693 0.084 0.520
O 0.114 0.135 0.892
O 0.861 0.772 0.973
O 0.899 0.595 0.359
O 0.894 0.272 0.473
O 0.358 0.635 0.392
O 0.615 0.343 0.158
O 0.702 0.693 0.520
O 0.147 0.899 0.359
O 0.860 0.140 0.337
O 0.108 0.268 0.233
O 0.360 0.163 0.837
O 0.843 0.115 0.658
O 0.343 0.884 0.158
O 0.084 0.702 0.520
O 0.115 0.384 0.658
O 0.614 0.358 0.392
O 0.193 0.202 0.020
O 0.647 0.095 0.859
O 0.384 0.843 0.658
O 0.584 0.193 0.020
O 0.375 0.378 0.608
O 0.268 0.391 0.233
O 0.133 0.876 0.631
O 0.095 0.399 0.859
O 0.595 0.147 0.359
O 0.884 0.615 0.158
O 0.202 0.584 0.020
O 0.140 0.663 0.337
O 0.359 0.133 0.631
O 0.878 0.875 0.108
O 0.663 0.860 0.337
O 0.135 0.858 0.892
O 0.768 0.608 0.733
O 0.394 0.861 0.973
O 0.891 0.768 0.733
P 0.817 0.282 0.592
P 0.743 0.743 0.772
P 0.809 0.782 0.092
P 0.681 0.192 0.901
P 0.243 0.243 0.272
P 0.309 0.817 0.592
P 0.226 0.681 0.901
P 0.317 0.809 0.092
P 0.181 0.726 0.401
P 0.726 0.692 0.401
P 0.192 0.226 0.901
P 0.692 0.181 0.401
P 0.782 0.317 0.092
P 0.282 0.309 0.592
Mg 0.000 0.000 0.999
Mg 0.500 0.500 0.499

---

7.
! HoMn4Sn6 (GGA-PBEsol, relaxed); values from VASP
! Symmetry ... I-42m (121)
! E_form ... -0.095 eV per atom
&SYSTEM
  ibrav = 0, nat = 11, ntyp = 3
/
ATOMIC_SPECIES
Sn 118.71 Sn.upf
Mn 54.94 Mn.upf
Ho 164.93 Ho.upf
CELL_PARAMETERS angstrom
6.674 0.004 -0.005
-3.331 5.783 0.005
3.331 1.935 5.450
ATOMIC_POSITIONS crystal
Sn 0.000 0.467 0.900
Sn 0.500 0.000 0.500
Sn 0.500 0.500 0.000
Sn 0.000 0.100 0.533
Sn 0.632 0.533 0.467
Sn 0.368 0.900 0.100
Mn 0.313 0.590 0.410
Mn 0.687 0.277 0.723
Mn 0.000 0.723 0.590
Mn 0.000 0.410 0.277
Ho 0.000 0.000 0.000

---

8.
! GaPd2Br (GGA-PBEsol, relaxed); values from VASP
! Symmetry ... Fm-3m (225)
! Raw formation energy ... -0.41 eV per formula unit
&SYSTEM
  ibrav = 0, nat = 4, ntyp = 3
/
ATOMIC_SPECIES
Pd 106.42 Pd.upf
Ga 69.72 Ga.upf
Br 79.90 Br.upf
CELL_PARAMETERS angstrom
4.507 0.000 0.000
2.254 3.903 0.000
2.254 1.301 3.680
ATOMIC_POSITIONS crystal
Pd 0.750 0.750 0.750
Pd 0.250 0.250 0.250
Ga 0.000 0.000 0.000
Br 0.500 0.500 0.500

---

9.
! BaTe2Se2 (GGA-PBEsol, relaxed); values from VASP
! Symmetry ... P4/mbm (127)
! Raw formation energy ... -2.83 eV per formula unit
&SYSTEM
  ibrav = 0, nat = 10, ntyp = 3
/
ATOMIC_SPECIES
Ba 137.33 Ba.upf
Se 78.96 Se.upf
Te 127.60 Te.upf
CELL_PARAMETERS angstrom
4.033 0.000 0.000
0.000 8.497 0.000
0.000 0.000 8.497
ATOMIC_POSITIONS crystal
Ba 0.000 0.500 0.500
Ba 0.000 0.000 0.000
Se 0.500 0.294 0.206
Se 0.500 0.706 0.794
Se 0.500 0.794 0.294
Se 0.500 0.206 0.706
Te 0.000 0.378 0.878
Te 0.000 0.122 0.378
Te 0.000 0.622 0.122
Te 0.000 0.878 0.622

---

10.
! MgZnCd2 (GGA-PBEsol, relaxed); values from VASP
! Symmetry ... F-43m (216)
! ΔE to the lowest computed polymorph ... 42 meV/atom
! E_form ... 0.012 eV per atom
&SYSTEM
  ibrav = 0, nat = 4, ntyp = 3
/
ATOMIC_SPECIES
Cd 112.41 Cd.upf
Zn 65.41 Zn.upf
Mg 24.30 Mg.upf
CELL_PARAMETERS angstrom
-4.584 0.395 1.285
-3.169 -3.283 -1.415
-1.862 -3.046 3.174
ATOMIC_POSITIONS crystal
Cd 0.000 0.000 0.000
Cd 0.750 0.750 0.750
Zn 0.250 0.250 0.250
Mg 0.500 0.500 0.500

---

11.
! ReHg2Pt2 (GGA-PBEsol, relaxed); values from VASP
! Symmetry ... I4/mmm (139)
! E_form ... 1.021 eV per atom
&SYSTEM
  ibrav = 0, nat = 5, ntyp = 3
/
ATOMIC_SPECIES
Pt 195.08 Pt.upf
Re 186.21 Re.upf
Hg 200.59 Hg.upf
CELL_PARAMETERS angstrom
-2.881 1.849 1.194
-2.113 -1.771 -2.355
1.270 -5.138 5.516
ATOMIC_POSITIONS crystal
Pt 0.250 0.750 0.500
Pt 0.750 0.250 0.500
Re 0.000 0.000 0.000
Hg 0.400 0.400 0.799
Hg 0.600 0.600 0.201

---

Record-wise calculated total energy values, in eV/atom: -5.284, -2.213, -9.896, -7.932, -7.346, -7.481, -6.418, -4.384, -3.946, -1.411, -4.658